No. 1
A plane-wave DFT calculation with PBE was carried out for an optimized crystal structure of Ca2LaAg2Hg2.

```
Ca2LaAg2Hg2
1.0
-3.600 2.602 2.039
-2.962 -2.081 3.283
3.861 2.908 8.963
Ca La Ag Hg
2 1 2 2
Cartesian
1.650 1.908 6.335
-4.351 1.520 7.951
0.000 0.000 0.000
-3.186 0.884 4.961
0.485 2.544 9.324
-1.729 2.705 11.066
-0.971 0.723 3.219
```

Results
* volume: 28.9 Å³ per atom
* final energy: -17.406 eV/cell
* spin magnetization: 0.00 μB/f.u.
* symmetry: R-3m, No. 166
* E_form: -29.9 kJ per mole of atoms
* D(E_F): 0.758 states/eV per atom



No. 2
A plane-wave DFT calculation with PBE was carried out for an optimized crystal structure of Li12Ca2Ag3Hg.

```
Li12Ca2Ag3Hg
1.0
-10.724 -6.047 5.941
-7.793 -3.921 10.525
-11.412 -0.463 7.512
Li Ca Ag Hg
12 2 3 1
Cartesian
-17.230 -4.302 13.014
-20.943 -9.094 17.612
-21.294 -6.242 18.415
-16.897 -7.008 12.253
-22.792 -7.328 16.073
-15.476 -5.977 14.474
-12.699 -6.129 10.965
-8.986 -1.337 6.367
-8.635 -4.189 5.564
-13.033 -3.423 11.726
-7.138 -3.103 7.906
-14.453 -4.453 9.505
-19.387 -6.757 15.532
-10.543 -3.674 8.447
-5.362 -3.024 2.971
-3.897 -1.960 5.263
-5.706 -0.231 3.756
0.000 0.000 0.000
```

Results
* volume: 21.8 Å³ per atom
* final energy: -35.804 eV/cell
* spin magnetization: 0.00 μB/f.u.
* symmetry: R-3m, No. 166
* E_form: 0.1 kJ per mole of atoms
* D(E_F): 0.539 states/eV per atom